(1)
First-principles (PBE-GGA) data for an optimized crystal structure of Y2MgBe, as listed in Alexandria via LeMat-Bulk.

Summary:
polymorph energy (0 for the lowest one)	158	meV/atom
symmetry	P4mm, No. 99
calculated volume	95.16	Å³/cell
magnetic moment	0.00	μB/cell

```
Y2MgBe
1.0
3.305 0.000 0.000
0.000 3.305 0.000
0.000 0.000 8.710
Mg Y Be
1 2 1
direct
0.500 0.500 0.692
0.500 0.500 0.306
0.000 0.000 0.985
0.000 0.000 0.517
```

---

(2)
First-principles (PBE-GGA) data for an optimized crystal structure of YMgBe2, as listed in Alexandria via LeMat-Bulk.

Summary:
symmetry	Imm2, No. 44
VASP energy	-14.53	eV/f.u.
calculated volume	72.57	Å³/cell
magnetic moment	0.00	μB/cell

```
YMgBe2
1.0
-5.071 -1.623 2.334
-4.604 -1.824 -3.045
5.641 -0.707 1.216
Be Mg Y
2 1 1
direct
0.961 0.961 0.000
0.829 0.329 0.500
0.488 0.488 0.000
0.221 0.721 0.500
```

---

(3)
First-principles (PBE-GGA) data for an optimized crystal structure of Y2MgBe, as listed in Alexandria via LeMat-Bulk.

Summary:
polymorph energy (0 for the lowest one)	118	meV/atom
symmetry	Imm2, No. 44
calculated volume	94.43	Å³/cell
magnetic moment	0.01	μB/cell

```
Y2MgBe
1.0
6.122 -0.008 0.000
5.125 3.349 0.000
2.129 0.632 4.596
Y Mg Be
2 1 1
direct
0.212 0.212 0.288
0.004 0.004 0.996
0.800 0.800 0.700
0.484 0.484 0.516
```

---

(4)
First-principles (PBE-GGA) data for an optimized crystal structure of YMgBe2, as listed in Alexandria via LeMat-Bulk.

Summary:
symmetry	I4_1/amd, No. 141
VASP energy	-13.71	eV/f.u.
calculated volume	159.27	Å³/cell
magnetic moment	0.00	μB/cell

```
YMgBe2
1.0
-4.131 -0.600 1.239
0.755 -4.264 0.453
0.533 -1.189 8.852
Y Mg Be
2 2 4
direct
0.750 0.250 0.500
0.000 0.000 0.000
0.250 0.750 0.500
0.500 0.500 0.000
0.375 0.625 0.250
0.375 0.125 0.250
0.375 0.625 0.750
0.875 0.625 0.750
```

---

(5)
First-principles (PBE-GGA) data for an optimized crystal structure of Y2MgBe, as listed in Alexandria via LeMat-Bulk.

Summary:
polymorph energy (0 for the lowest one)	275	meV/atom
symmetry	C2/m, No. 12
calculated volume	106.47	Å³/cell
magnetic moment	0.00	μB/cell

```
Y2MgBe
1.0
4.419 -0.094 0.038
3.023 3.224 0.038
1.263 0.531 7.340
Be Mg Y
1 1 2
direct
0.250 0.250 0.250
0.750 0.750 0.750
0.514 0.514 0.445
0.986 0.986 0.055
```

---

(6)
First-principles (PBE-GGA) data for an optimized crystal structure of YMg2Be, as listed in Alexandria via LeMat-Bulk.

Summary:
symmetry	I-42d, No. 122
VASP energy	-11.74	eV/f.u.
calculated volume	184.03	Å³/cell
magnetic moment	0.00	μB/cell

```
YMg2Be
1.0
-0.461 -1.829 3.695
-0.281 -3.695 -1.864
10.231 -3.940 1.654
Mg Y Be
4 2 2
direct
0.149 0.625 0.250
0.875 0.851 0.750
0.375 0.399 0.750
0.601 0.125 0.250
0.750 0.250 0.500
0.000 0.000 0.000
0.250 0.750 0.500
0.500 0.500 0.000
```

---

(7)
First-principles (PBE-GGA) data for an optimized crystal structure of YMgBe2, as listed in Alexandria via LeMat-Bulk.

Summary:
symmetry	P3m1, No. 156
VASP energy	-15.52	eV/f.u.
calculated volume	151.40	Å³/cell
magnetic moment	0.00	μB/cell

```
YMgBe2
1.0
-2.851 1.383 1.621
-0.298 -3.027 -1.848
2.956 -7.236 11.374
Mg Be Y
2 4 2
direct
0.000 0.000 0.896
0.333 0.667 0.077
0.667 0.333 0.510
0.333 0.667 0.465
0.000 0.000 0.417
0.000 0.000 0.559
0.667 0.333 0.283
0.333 0.667 0.691
```

---

(8)
First-principles (PBE-GGA) data for an optimized crystal structure of YMgBe2, as listed in Alexandria via LeMat-Bulk.

Summary:
symmetry	Cmcm, No. 63
VASP energy	-15.39	eV/f.u.
calculated volume	281.41	Å³/cell
magnetic moment	0.00	μB/cell

```
YMgBe2
1.0
-0.180 -2.322 -2.887
16.308 -3.236 1.587
-0.955 -3.431 2.819
Be Y Mg
8 4 4
direct
0.000 0.038 0.250
0.500 0.538 0.250
0.500 0.462 0.750
0.000 0.962 0.750
0.000 0.500 0.500
0.500 0.000 0.000
0.000 0.500 0.000
0.500 0.000 0.500
0.000 0.682 0.250
0.500 0.182 0.250
0.500 0.818 0.750
0.000 0.318 0.750
0.500 0.391 0.250
0.000 0.109 0.750
0.500 0.609 0.750
0.000 0.891 0.250
```

---

Which value of magnetic moment does entry 1 give? 0.00 μB/cell

---

Which of these has the highest calculated volume? number 8

---

Which value of magnetic moment does entry 3 give? 0.01 μB/cell

---

Which value of calculated volume does entry 8 give? 281.41 Å³/cell